# 1
Computed, not measured: a geometry-optimized Cd2Ga structure at the GGA-PBE level of DFT.

Cell lengths 7.0633, 7.0633, 7.0633 Å; angles 27.47, 27.47, 27.47 degrees
With the nearest neighbours (Å) after each atom.
Fractional positions:
Cd  0.2249  0.2249  0.2249  3 Ga 2.94, 3 Cd 3.06
Cd  0.7751  0.7751  0.7751  3 Ga 2.94, 3 Cd 3.06
Ga  0.0000  0.0000  0.0000  6 Cd 2.94

Output
- Space-group type: R-3m
- E_tot: -1.553 eV/atom

***

# 2
Computed, not measured: a geometry-optimized RbMn2NiRu structure at the GGA-PBE level of DFT.

Cell lengths 4.8464, 4.8464, 4.6631 Å; angles 90.00, 90.00, 90.00 degrees
With the nearest neighbours (Å) after each atom.
Fractional positions:
Rb  0.0000  0.0000  0.0000  2 Ru 2.33, 4 Mn 2.42
Mn  0.0000  0.5000  0.0000  2 Rb 2.42
Mn  0.5000  0.0000  0.0000  2 Rb 2.42
Ni  0.5000  0.5000  0.5000  8 Mn 3.36, 4 Ru 3.43
Ru  0.0000  0.0000  0.5000  2 Rb 2.33

Output
- Space-group type: P4/mmm
- E_tot: -4.122 eV/atom

***

# 3
Computed, not measured: a geometry-optimized Pu3MnGe5 structure at the GGA-PBE level of DFT.

Cell lengths 8.5422, 8.5422, 5.5445 Å; angles 90.00, 90.00, 120.00 degrees
With the nearest neighbours (Å) after each atom.
Fractional positions:
Pu  0.0000  0.3913  0.2500  9 Ge 2.92-3.11
Pu  0.0000  0.6087  0.7500  9 Ge 2.92-3.11
Pu  0.3913  0.0000  0.2500  9 Ge 2.92-3.11
Pu  0.3913  0.3913  0.7500  9 Ge 2.92-3.11
Pu  0.6087  0.0000  0.7500  9 Ge 2.92-3.11
Pu  0.6087  0.6087  0.2500  9 Ge 2.92-3.11
Mn  0.0000  0.0000  0.0000  6 Ge 2.50, 2 Mn 2.77
Mn  0.0000  0.0000  0.5000  6 Ge 2.50, 2 Mn 2.77
Ge  0.0000  0.2442  0.7500  2 Mn 2.50
Ge  0.0000  0.7558  0.2500  2 Mn 2.50
Ge  0.2442  0.0000  0.7500  2 Mn 2.50
Ge  0.2442  0.2442  0.2500  2 Mn 2.50
Ge  0.3333  0.6667  0.0000  2 Ge 2.77, 6 Pu 2.98
Ge  0.3333  0.6667  0.5000  2 Ge 2.77, 6 Pu 2.98
Ge  0.6667  0.3333  0.0000  2 Ge 2.77, 6 Pu 2.98
Ge  0.6667  0.3333  0.5000  2 Ge 2.77, 6 Pu 2.98
Ge  0.7558  0.0000  0.2500  2 Mn 2.50
Ge  0.7558  0.7558  0.7500  2 Mn 2.50

Output
- Space-group type: P6_3/mcm
- E_tot: -8.752 eV/atom

***

Number 1: ΔH_f (0 K) 0.066 eV/atom. Number 2: ΔH_f (0 K) 2.751 eV/atom. Number 3: ΔH_f (0 K) -0.390 eV/atom.